4
Lattice="2.0938 0.0000 6.3096 -1.0469 1.8133 6.3096 -1.0469 -1.8133 6.3096" Properties=species:S:1:pos:R:3 comment="SrOsO2, relaxed, DFT PBE" relative_energy_ev_per_fu=0.000 sg="R-3m (166)" crystal_system=trigonal raw_formation_energy_kj_per_mol_fu=-445 vol_a3_per_fu=71.9 pbc="T T T"
Os 0.0000 0.0000 0.0000
Sr 0.0000 0.0000 9.4643
O 0.0000 0.0000 17.0604
O 0.0000 0.0000 1.8683


5
Lattice="5.0143 0.0000 0.0000 0.0000 5.0143 0.0000 0.0000 0.0000 5.1468" Properties=species:S:1:pos:R:3 comment="SrCa2SbH, relaxed, DFT PBE" sg="P4/mmm (123)" crystal_system=tetragonal vol_a3_per_fu=129.4 pbc="T T T"
Sr 0.0000 0.0000 2.5734
H 0.0000 0.0000 0.0000
Ca 2.5072 0.0000 0.0000
Ca 0.0000 2.5072 0.0000
Sb 2.5072 2.5072 2.5734


10
Lattice="-3.4537 1.2394 5.3438 -3.3721 -5.4604 -0.9129 -0.3535 -4.4199 4.7283" Properties=species:S:1:pos:R:3 comment="Rb2YZnF6, relaxed, DFT PBE" sg="Fm-3m (225)" crystal_system=cubic raw_formation_energy_kj_per_mol_fu=-2818 vol_a3_per_fu=192.6 pbc="T T T"
F -3.3915 -3.8602 0.5815
F -5.1954 -3.2129 3.3726
F -1.6303 -1.0082 1.0583
F -1.8150 -3.3167 3.5279
F -3.4342 -0.3608 3.8495
F -5.3642 -5.3243 5.6313
Zn -3.4129 -2.1105 2.2155
Y 0.0000 0.0000 0.0000
Rb -3.5692 -5.9954 3.0154
Rb -3.6100 -2.6455 6.1438


11
Lattice="4.3407 0.0000 0.0000 -2.1703 3.7591 0.0000 0.0000 0.0000 17.3761" Properties=species:S:1:pos:R:3 comment="Ba3Ga4Ir2Pt2, relaxed, DFT PBE" formation_energy_ev_per_atom=-0.502 sg="P-3m1 (164)" crystal_system=trigonal vol_a3_per_fu=283.5 pbc="T T T"
Ba 0.0000 0.0000 12.3051
Ba 0.0000 0.0000 0.0000
Ba 0.0000 0.0000 5.0710
Ga 2.1703 1.2530 9.7588
Ga 2.1703 1.2530 2.4984
Ga 0.0000 2.5061 14.8777
Ga 0.0000 2.5061 7.6173
Ir 0.0000 2.5061 10.1383
Ir 2.1703 1.2530 7.2378
Pt 0.0000 2.5061 2.4378
Pt 2.1703 1.2530 14.9383


5
Lattice="-2.3445 -0.4862 -5.4701 1.3548 -5.8151 -0.0638 -5.4435 -1.2951 2.4482" Properties=species:S:1:pos:R:3 comment="CsTl2CdSn, relaxed, DFT PBE" formation_energy_ev_per_atom=0.107 sg="P4/mmm (123)" crystal_system=tetragonal vol_a3_per_fu=217.8 pbc="T T T"
Cs -3.2166 -3.7982 -1.5429
Sn 0.0000 0.0000 0.0000
Cd -2.7217 -0.6475 1.2241
Tl -1.1722 -0.2431 -2.7351
Tl 0.6774 -2.9075 -0.0319


3
Lattice="3.2087 0.0000 0.0000 1.6043 2.7788 0.0000 1.6043 0.9263 6.8425" Properties=species:S:1:pos:R:3 comment="CdInPd, relaxed, DFT PBE" formation_energy_ev_per_atom=-0.195 sg="R3m (160)" crystal_system=trigonal vol_a3_per_fu=61.0 pbc="T T T"
In 3.2087 1.8525 6.7558
Pd 1.6043 0.9263 4.6817
Cd 3.2087 1.8525 2.5477


no.,E_tot (eV/atom)
1,-6.860
2,-3.124
3,-5.011
4,-4.837
5,-1.994
6,-3.144